PrTe2Pt | the Alexandria database | GGA-PBE | optimized geometry; formation energy from raw total energies = -0.31 eV per atom; volume = 31.545 A^3/atom; SG = R-3m, No. 166; crystal system = trigonal
1.0
-1.583 -1.401 -3.354
-1.398 -3.708 -0.135
-9.332 1.345 1.497
Pr Pt Te
1 1 2
direct
0.000 0.000 0.000 Pr
0.500 0.500 0.500 Pt
0.886 0.886 0.342 Te
0.114 0.114 0.658 Te